No. 1
LiTmNp2S5 (GGA-PBE, optimized geometry); size of the total moment = 7.95 μB per formula unit; crystal system = orthorhombic; formation energy from raw total energies = -1519.9 meV per atom; space-group type = Cmc2_1; volume = 20.27 Å³ per atom
1.0
-1.3426 -2.5882 2.5314
-3.4742 -2.3527 -7.1930
9.1662 -6.8830 -2.1759
S Np Li Tm
10 4 2 2
Direct
0.2861 0.5723 0.6651
0.4990 0.9980 0.7792
0.5010 0.0020 0.2792
0.0480 0.0960 0.0735
0.3645 0.7291 0.9987
0.7139 0.4277 0.1651
0.9520 0.9040 0.5735
0.6894 0.3788 0.8450
0.3106 0.6212 0.3450
0.6355 0.2709 0.4987
0.1076 0.2152 0.6815
0.8754 0.7508 0.8003
0.8924 0.7848 0.1815
0.1246 0.2492 0.3003
0.5188 0.0376 0.9771
0.4812 0.9624 0.4771
0.8007 0.6014 0.5036
0.1993 0.3986 0.0036

No. 2
CuTcBi2Pd (GGA-PBE, optimized geometry); size of the total moment = 3.25 μB per formula unit; crystal system = tetragonal; energy relative to the elements = 1.028 eV per atom; space-group type = P4/mmm; volume = 24.49 Å³ per atom
1.0
5.1787 0.0000 0.0000
0.0000 4.5663 0.0000
0.0000 0.0000 5.1787
Cu Tc Bi Pd
1 1 2 1
Direct
0.0000 0.5000 0.0000
0.5000 0.5000 0.5000
0.5000 0.0000 0.0000
0.0000 0.0000 0.5000
0.0000 0.0000 0.0000

No. 3
NaDyI4 (GGA-PBE, optimized geometry); size of the total moment = 0.00 μB per formula unit; crystal system = monoclinic; formation energy from raw total energies = -1344.9 meV per atom; space-group type = P2/m; volume = 45.43 Å³ per atom
1.0
4.4333 0.0000 0.0000
0.0000 7.6685 -0.0054
0.0000 0.0295 8.0179
Na I Dy
1 4 1
Direct
0.5000 0.0000 0.5000
0.5000 0.2330 0.8506
0.0000 0.7767 0.6929
0.5000 0.7670 0.1494
0.0000 0.2233 0.3071
0.0000 0.0000 0.0000

| no. | raw total energy (eV/f.u.) |
| --- | --- |
| 1 | -66.58 |
| 2 | -22.28 |
| 3 | -20.19 |